! GGA-PBE Pr3CI3, optimized geometry; values from VASP
&SYSTEM
  ibrav = 0, nat = 14, ntyp = 3
/
ATOMIC_SPECIES
Pr 140.91 Pr.upf
C 12.01 C.upf
I 126.90 I.upf
CELL_PARAMETERS angstrom
9.096 0.000 0.000
0.000 4.062 0.000
-0.536 0.000 12.276
ATOMIC_POSITIONS angstrom
Pr 0.565 1.016 4.881
Pr 0.585 1.016 10.073
Pr 2.394 3.047 7.559
Pr 6.165 1.016 4.716
Pr 7.975 3.047 2.202
Pr 7.995 3.047 7.395
C 0.751 1.016 7.565
C 7.809 3.047 4.711
I 1.262 1.016 1.527
I 2.972 3.047 10.715
I 3.287 3.047 4.475
I 5.272 1.016 7.801
I 5.587 1.016 1.561
I 7.298 3.047 10.749
! total energy: -70.52 eV per cell
! excess energy over the best structure of this formula in the dataset: 0.000 eV per atom
! space-group type: P2_1/m (11)
! magnetic moment: 0.000 μB per cell
! volume: 32.40 Å³ per atom
! formation energy without anion corrections: -97.1 kJ per mole of atoms

! GGA-PBE BaCrRe2, optimized geometry; values from VASP
&SYSTEM
  ibrav = 0, nat = 4, ntyp = 3
/
ATOMIC_SPECIES
Ba 137.33 Ba.upf
Cr 52.00 Cr.upf
Re 186.21 Re.upf
CELL_PARAMETERS angstrom
-1.435 2.561 5.135
1.435 -2.561 5.135
1.435 2.561 -5.135
ATOMIC_POSITIONS angstrom
Ba 0.000 0.000 0.000
Cr 0.000 0.000 5.135
Re 1.435 0.000 2.969
Re 0.000 2.561 2.166
! total energy: -31.56 eV per cell
! DFT formation energy: 1219 meV/atom
! excess energy over the best structure of this formula in the dataset: 0.432 eV per atom
! space-group type: Immm (71)
! magnetic moment: 1.409 μB per cell
! volume: 18.87 Å³ per atom

! GGA-PBE TeIN2, optimized geometry; values from VASP
&SYSTEM
  ibrav = 0, nat = 4, ntyp = 3
/
ATOMIC_SPECIES
Te 127.60 Te.upf
I 126.90 I.upf
N 14.01 N.upf
CELL_PARAMETERS angstrom
1.776 1.025 6.741
-1.776 1.025 6.741
0.000 -2.050 6.741
ATOMIC_POSITIONS angstrom
Te 0.000 0.000 0.000
I 0.000 0.000 10.112
N 0.000 0.000 7.840
N 0.000 0.000 12.384
! total energy: -16.49 eV per cell
! excess energy over the best structure of this formula in the dataset: 0.000 eV per atom
! space-group type: R-3m (166)
! magnetic moment: 0.000 μB per cell
! volume: 18.41 Å³ per atom
! formation energy without anion corrections: 116.9 kJ per mole of atoms

! GGA-PBE Ba2SmCu3O7, optimized geometry; values from VASP
&SYSTEM
  ibrav = 0, nat = 13, ntyp = 4
/
ATOMIC_SPECIES
Ba 137.33 Ba.upf
Sm 150.36 Sm.upf
Cu 63.55 Cu.upf
O 16.00 O.upf
CELL_PARAMETERS angstrom
3.870 0.000 0.000
0.000 3.938 0.000
0.000 0.000 11.878
ATOMIC_POSITIONS angstrom
Ba 0.000 0.000 2.133
Ba 0.000 0.000 9.745
Sm 0.000 0.000 5.939
Cu 1.935 1.969 0.000
Cu 1.935 1.969 4.146
Cu 1.935 1.969 7.732
O 0.000 1.969 4.458
O 0.000 1.969 7.420
O 1.935 0.000 0.000
O 1.935 0.000 4.446
O 1.935 0.000 7.432
O 1.935 1.969 1.876
O 1.935 1.969 10.002
! total energy: -78.83 eV per cell
! space-group type: Pmmm (47)
! magnetic moment: 0.000 μB per cell
! volume: 13.92 Å³ per atom
! formation energy without anion corrections: -172.7 kJ per mole of atoms

! GGA-PBE Nb4GaGe, optimized geometry; values from VASP
&SYSTEM
  ibrav = 0, nat = 12, ntyp = 3
/
ATOMIC_SPECIES
Nb 92.91 Nb.upf
Ga 69.72 Ga.upf
Ge 72.64 Ge.upf
CELL_PARAMETERS angstrom
2.794 -7.978 0.000
2.794 7.978 0.000
-1.519 0.000 4.777
ATOMIC_POSITIONS angstrom
Nb 1.021 3.394 1.182
Nb 1.023 0.593 1.180
Nb 0.263 -0.593 3.568
Nb 0.262 -3.394 3.570
Nb 3.808 3.394 1.207
Nb 3.806 0.593 1.208
Nb 3.047 -0.593 3.597
Nb 3.048 -3.394 3.595
Ga 1.655 1.997 3.583
Ga 2.414 -1.997 1.194
Ge 2.414 5.984 1.194
Ge 1.655 -5.984 3.583
! total energy: -96.18 eV per cell
! DFT formation energy: -28 meV/atom
! excess energy over the best structure of this formula in the dataset: 0.314 eV per atom
! space-group type: C2/c (15)
! magnetic moment: 0.000 μB per cell
! volume: 17.75 Å³ per atom

! GGA-PBE Cs2CdPdBr6, optimized geometry; values from VASP
&SYSTEM
  ibrav = 0, nat = 20, ntyp = 4
/
ATOMIC_SPECIES
Cs 132.91 Cs.upf
Cd 112.41 Cd.upf
Pd 106.42 Pd.upf
Br 79.90 Br.upf
CELL_PARAMETERS angstrom
3.882 2.241 13.110
-3.882 2.241 13.110
0.000 -4.483 13.110
ATOMIC_POSITIONS angstrom
Cs 0.000 0.000 4.823
Cs 0.000 0.000 11.555
Cs 0.000 0.000 27.774
Cs 0.000 0.000 34.506
Cd 0.000 0.000 16.276
Cd 0.000 0.000 23.053
Pd 0.000 0.000 0.000
Pd 0.000 0.000 19.664
Br -1.875 -1.083 18.053
Br 0.000 -2.296 14.634
Br -1.988 1.148 14.634
Br -1.988 -1.148 24.695
Br 0.000 -2.166 21.276
Br -1.875 1.083 21.276
Br 1.875 -1.083 18.053
Br 0.000 2.166 18.053
Br 1.988 1.148 14.634
Br 1.988 -1.148 24.695
Br 0.000 2.296 24.695
Br 1.875 1.083 21.276
! total energy: -56.49 eV per cell
! excess energy over the best structure of this formula in the dataset: 0.019 eV per atom
! space-group type: R-3m (166)
! magnetic moment: 2.028 μB per cell
! volume: 34.22 Å³ per atom
! formation energy without anion corrections: -100.3 kJ per mole of atoms

! GGA-PBE ScRe2Ag, optimized geometry; values from VASP
&SYSTEM
  ibrav = 0, nat = 4, ntyp = 3
/
ATOMIC_SPECIES
Sc 44.96 Sc.upf
Re 186.21 Re.upf
Ag 107.87 Ag.upf
CELL_PARAMETERS angstrom
0.000 3.217 3.217
3.217 0.000 3.217
3.217 3.217 0.000
ATOMIC_POSITIONS angstrom
Sc 0.000 0.000 0.000
Re 1.609 1.609 1.609
Re 4.826 4.826 4.826
Ag 3.217 3.217 3.217
! total energy: -30.83 eV per cell
! DFT formation energy: 811 meV/atom
! excess energy over the best structure of this formula in the dataset: 0.771 eV per atom
! space-group type: Fm-3m (225)
! magnetic moment: 0.002 μB per cell
! volume: 16.65 Å³ per atom

! GGA-PBE CaPm3Pr3Te8, optimized geometry; values from VASP
&SYSTEM
  ibrav = 0, nat = 15, ntyp = 4
/
ATOMIC_SPECIES
Ca 40.08 Ca.upf
Pm 145.00 Pm.upf
Pr 140.91 Pr.upf
Te 127.60 Te.upf
CELL_PARAMETERS angstrom
4.485 2.589 7.349
-4.485 2.589 7.349
0.000 -5.179 7.349
ATOMIC_POSITIONS angstrom
Ca 0.000 0.000 0.000
Pm -2.242 -1.295 7.349
Pm -2.242 1.295 14.697
Pm 0.000 2.589 7.349
Pr -4.485 0.000 11.023
Pr -2.242 1.295 3.674
Pr 2.242 1.295 3.674
Te 0.000 0.000 5.547
Te 0.000 -2.546 9.179
Te -2.205 1.273 9.179
Te -2.205 -1.273 12.867
Te 2.205 1.273 9.179
Te 2.205 -1.273 12.867
Te 0.000 2.546 12.867
Te 0.000 0.000 16.499
! total energy: -77.94 eV per cell
! space-group type: R-3m (166)
! magnetic moment: 0.000 μB per cell
! volume: 34.13 Å³ per atom
! formation energy without anion corrections: -142.9 kJ per mole of atoms

> Number 1 is which compound?

Pr3CI3